The following is a DFT calculation (PBE) of a geometry-optimized Li3Nd2PaTe6 structure.

Its space group is C2/m (12). The density of states at the Fermi level is 0.727 states/eV/atom. For the raw total energy, the calculation gives -0.175 Ha/atom. For the formation energy without anion corrections, the calculation gives -1.134 eV per atom.

Lattice parameters (Å, degrees): 7.5955 7.5955 7.5762 99.64 99.64 119.99
Fractional coordinates of all 12 atoms:
Pa 0.0000 0.0000 0.0000
Te 0.4135 0.0882 0.2645
Te 0.0882 0.4135 0.2645
Te 0.5865 0.9118 0.7355
Te 0.2373 0.2373 0.7374
Te 0.7627 0.7627 0.2626
Te 0.9118 0.5865 0.7355
Nd 0.6666 0.3334 0.0000
Nd 0.3334 0.6666 0.0000
Li 0.5000 0.5000 0.5000
Li 0.8314 0.1686 0.5000
Li 0.1686 0.8314 0.5000